(1)
Below is a geometry-optimized LiVCoSe3 structure, with properties calculated at the PBE level.

a b c (Å): 7.281 3.495 8.963
angles (deg): 90.00 106.89 90.00
Atoms (fractional coordinates):
Li  0.239  0.250  0.273
Li  0.761  0.750  0.727
V  0.302  0.750  0.822
V  0.698  0.250  0.178
Co  0.081  0.250  0.599
Co  0.919  0.750  0.401
Se  0.075  0.250  0.857
Se  0.265  0.750  0.539
Se  0.427  0.750  0.130
Se  0.573  0.250  0.870
Se  0.735  0.250  0.461
Se  0.925  0.750  0.143

Summary:
The space group is P2_1/m. As for the formation energy (no corrections): -0.673 eV per atom. The density comes out at 5.382 g/cm³. The final energy is -65.26 eV for the cell shown.

(2)
Below is a geometry-optimized PmGd2Bi structure, with properties calculated at the PBE level.

a b c (Å): 4.914 4.914 4.978
angles (deg): 90.00 90.00 90.00
Atoms (fractional coordinates):
Pm  0.000  0.000  0.000
Gd  0.000  0.500  0.500
Gd  0.500  0.000  0.500
Bi  0.500  0.500  0.000

Summary:
The energy above the most stable polymorph in this dataset comes out at 0.00 eV per formula unit. Its calculated formation energy is -1.642 eV/f.u. The space group is P4/mmm. The density comes out at 9.236 g/cm³. The final energy is -38.43 eV for the cell shown.

(3)
Below is a geometry-optimized Ba4Cr structure, with properties calculated at the PBE level.

a b c (Å): 6.626 6.626 6.626
angles (deg): 90.00 90.00 90.00
Atoms (fractional coordinates):
Ba  0.000  0.000  0.000
Ba  0.000  0.500  0.500
Ba  0.500  0.000  0.500
Ba  0.500  0.500  0.000
Cr  0.500  0.500  0.500

Summary:
The energy above the most stable polymorph in this dataset comes out at 0.00 eV per formula unit. Its calculated formation energy is 2.108 eV/f.u. The space group is Pm-3m. The density comes out at 3.432 g/cm³. The final energy is -15.21 eV for the cell shown.